Density functional theory data (GGA-PBE) for a relaxed Na2NdAg9 crystal.

Computed properties:
Calculated total energy (eV per atom): -2.85
Total magnetization (Bohr magnetons per cell): 0.00

a = 10.008 Å, b = 10.008 Å, c = 10.008 Å
α = 32.49°, β = 32.49°, γ = 32.49°
Fractional coordinates of all 12 atoms:
Na  0.145  0.145  0.145
Na  0.855  0.855  0.855
Nd  0.000  0.000  0.000
Ag  0.083  0.584  0.584
Ag  0.333  0.333  0.333
Ag  0.416  0.416  0.917
Ag  0.416  0.917  0.416
Ag  0.500  0.500  0.500
Ag  0.584  0.083  0.584
Ag  0.584  0.584  0.083
Ag  0.667  0.667  0.667
Ag  0.917  0.416  0.416


Density functional theory data (GGA-PBE) for a relaxed Ir4OsRh5 crystal.

Computed properties:
Energy above the most stable polymorph in this dataset (eV/atom): 0.3351
Total magnetization (Bohr magnetons per cell): 0.00

a = 8.104 Å, b = 8.600 Å, c = 4.624 Å
α = 90.00°, β = 90.00°, γ = 90.00°
Fractional coordinates of all 20 atoms:
Ir  0.082  0.250  0.085
Ir  0.250  0.502  0.252
Ir  0.250  0.998  0.252
Ir  0.418  0.250  0.085
Ir  0.582  0.750  0.915
Ir  0.750  0.002  0.748
Ir  0.750  0.498  0.748
Ir  0.918  0.750  0.915
Os  0.250  0.250  0.577
Os  0.750  0.750  0.423
Rh  0.080  0.003  0.746
Rh  0.080  0.497  0.746
Rh  0.250  0.750  0.901
Rh  0.420  0.003  0.746
Rh  0.420  0.497  0.746
Rh  0.580  0.503  0.254
Rh  0.580  0.997  0.254
Rh  0.750  0.250  0.099
Rh  0.920  0.503  0.254
Rh  0.920  0.997  0.254


Density functional theory data (GGA-PBE) for a relaxed CaTi2AlCu crystal.

Computed properties:
Calculated total energy (eV per atom): -4.74
Total magnetization (Bohr magnetons per cell): 1.80

a = 4.812 Å, b = 4.812 Å, c = 4.635 Å
α = 90.00°, β = 90.00°, γ = 90.00°
Fractional coordinates of all 5 atoms:
Ca  0.000  0.000  0.000
Ti  0.000  0.500  0.500
Ti  0.500  0.000  0.500
Al  0.500  0.500  0.000
Cu  0.500  0.500  0.500


Density functional theory data (GGA-PBE) for a relaxed NaTeAsBr2 crystal.

Computed properties:
ΔE_f (raw) (eV/f.u.): 1.4
Energy above the most stable polymorph in this dataset (eV/atom): 0.4173
Total magnetization (Bohr magnetons per cell): 2.49

a = 5.090 Å, b = 5.090 Å, c = 6.226 Å
α = 90.00°, β = 90.00°, γ = 90.00°
Fractional coordinates of all 5 atoms:
Na  0.000  0.000  0.000
Te  0.500  0.500  0.500
As  0.000  0.000  0.500
Br  0.000  0.500  0.000
Br  0.500  0.000  0.000


Density functional theory data (GGA-PBE) for a relaxed Sm6Pt2SeI3 crystal.

Computed properties:
ΔE_f (raw) (eV/f.u.): -14.2
Total magnetization (Bohr magnetons per cell): 0.00

a = 7.482 Å, b = 7.482 Å, c = 8.122 Å
α = 98.84°, β = 98.84°, γ = 119.80°
Fractional coordinates of all 12 atoms:
Sm  0.082  0.437  0.811
Sm  0.208  0.208  0.188
Sm  0.437  0.082  0.811
Sm  0.563  0.918  0.189
Sm  0.792  0.792  0.812
Sm  0.918  0.563  0.189
Pt  0.167  0.833  0.000
Pt  0.833  0.167  0.000
Se  0.500  0.500  0.000
I  0.000  0.000  0.500
I  0.339  0.661  0.500
I  0.661  0.339  0.500


Density functional theory data (GGA-PBE) for a relaxed SrSeCl crystal.

Computed properties:
ΔE_f (raw) (eV/f.u.): -3.4
Energy above the most stable polymorph in this dataset (eV/atom): 0.7743
Total magnetization (Bohr magnetons per cell): 4.16

a = 7.305 Å, b = 7.305 Å, c = 7.305 Å
α = 90.00°, β = 90.00°, γ = 90.00°
Fractional coordinates of all 12 atoms:
Sr  0.000  0.000  0.000
Sr  0.000  0.500  0.500
Sr  0.500  0.000  0.500
Sr  0.500  0.500  0.000
Se  0.250  0.250  0.250
Se  0.250  0.750  0.750
Se  0.750  0.250  0.750
Se  0.750  0.750  0.250
Cl  0.000  0.000  0.500
Cl  0.000  0.500  0.000
Cl  0.500  0.000  0.000
Cl  0.500  0.500  0.500


no.,calculated density (g/cm3),DOS(E_F) (states/eV per cell)
1,7.50,3.15
2,15.19,24.53
3,3.50,4.91
4,3.97,3.54
5,7.75,10.61
6,3.44,13.56